1.
The following is a DFT calculation (PBEsol) of a relaxed structure of Mg2ScAg.

Cell: 3.0922 4.8147 5.5961 Å, 90.00 100.33 90.00°
Space group P2/m (No. 10)
Unique sites:
Mg  0.1597  0.0000  0.2622 x2
Sc  0.5000  0.5000  0.0000 x1
Ag  0.0000  0.5000  0.5000 x1

Output
- E_tot (eV/atom) = -3.399
- calculated formation energy (eV/atom) = -0.06


2.
The following is a DFT calculation (PBEsol) of a relaxed structure of Ni2Pt.

Cell: 5.1378 2.6377 10.7532 Å, 90.00 90.00 90.00°
Space group Pnma (No. 62)
Unique sites:
Ni  0.1164  0.2500  0.2495 x4
Ni  0.1281  0.2500  0.5884 x4
Pt  0.1383  0.2500  0.9123 x4

Output
- E_tot (eV/atom) = -6.459
- calculated formation energy (eV/atom) = -0.03


3.
The following is a DFT calculation (PBEsol) of a relaxed structure of Ba2BiSe.

Cell: 8.8888 8.8888 7.9043 Å, 90.00 90.00 90.00°
Space group I-42d (No. 122)
Unique sites:
Ba  0.2200  0.2500  0.1250 x8
Bi  0.0000  0.0000  0.5000 x4
Se  0.0000  0.0000  0.0000 x4

Output
- E_tot (eV/atom) = -4.202
- E_form (uncorrected) (meV/atom) = -1093
- energy relative to the lowest polymorph listed for this composition (meV/atom) = 34.1


4.
The following is a DFT calculation (PBEsol) of a relaxed structure of La2MgO4.

Cell: 3.8756 3.8756 12.4097 Å, 90.00 90.00 90.00°
Space group I4/mmm (No. 139)
Unique sites:
La  0.0000  0.0000  0.1367 x4
Mg  0.0000  0.0000  0.5000 x2
O  0.0000  0.0000  0.3222 x4
O  0.0000  0.5000  0.0000 x4

Output
- E_tot (eV/atom) = -7.967
- E_form (uncorrected) (meV/atom) = -3195
- energy relative to the lowest polymorph listed for this composition (meV/atom) = 12.1


5.
The following is a DFT calculation (PBEsol) of a relaxed structure of DyErCd2.

Cell: 7.3176 7.3176 7.3176 Å, 90.00 90.00 90.00°
Space group Fm-3m (No. 225)
Unique sites:
Dy  0.0000  0.0000  0.0000 x4
Er  0.0000  0.0000  0.5000 x4
Cd  0.2500  0.2500  0.2500 x8

Output
- E_tot (eV/atom) = -3.415
- calculated formation energy (eV/atom) = -0.34


6.
The following is a DFT calculation (PBEsol) of a relaxed structure of SbRuSe.

Cell: 6.2590 6.2590 6.2590 Å, 90.00 90.00 90.00°
Space group F-43m (No. 216)
Unique sites:
Sb  0.0000  0.0000  0.0000 x4
Ru  0.0000  0.0000  0.5000 x4
Se  0.2500  0.2500  0.7500 x4

Output
- E_tot (eV/atom) = -5.420
- E_form (uncorrected) (meV/atom) = 773


7.
The following is a DFT calculation (PBEsol) of a relaxed structure of SiTc2Ru.

Cell: 2.8936 4.2649 8.5703 Å, 90.00 90.00 90.00°
Space group Immm (No. 71)
Unique sites:
Si  0.0000  0.0000  0.0000 x2
Tc  0.0000  0.5000  0.2709 x4
Ru  0.0000  0.0000  0.5000 x2

Output
- E_tot (eV/atom) = -9.888
- E_form (uncorrected) (meV/atom) = -275


8.
The following is a DFT calculation (PBEsol) of a relaxed structure of CdGe3H.

Cell: 5.0853 5.0853 5.0853 Å, 90.00 90.00 90.00°
Space group Pm-3m (No. 221)
Unique sites:
Cd  0.0000  0.0000  0.0000 x1
Ge  0.0000  0.0000  0.5000 x3
H  0.5000  0.5000  0.5000 x1

Output
- E_tot (eV/atom) = -2.496


9.
The following is a DFT calculation (PBEsol) of a relaxed structure of CaZr2Ni.

Cell: 4.1097 4.1097 4.8690 Å, 90.00 90.00 90.00°
Space group P4/mmm (No. 123)
Unique sites:
Ca  0.0000  0.0000  0.0000 x1
Zr  0.0000  0.5000  0.5000 x2
Ni  0.5000  0.5000  0.0000 x1

Output
- E_tot (eV/atom) = -6.285
- calculated formation energy (eV/atom) = 0.33
- energy relative to the lowest polymorph listed for this composition (meV/atom) = 226.9


10.
The following is a DFT calculation (PBEsol) of a relaxed structure of SrSb2Pd.

Cell: 5.1491 5.1491 17.9875 Å, 90.00 90.00 90.00°
Space group I-42d (No. 122)
Unique sites:
Sr  0.0000  0.0000  0.0000 x4
Sb  0.1321  0.2500  0.6250 x8
Pd  0.0000  0.0000  0.5000 x4

Output
- E_tot (eV/atom) = -4.689
- E_form (uncorrected) (meV/atom) = -460


11.
The following is a DFT calculation (PBEsol) of a relaxed structure of Dy6Al2SiS14.

Cell: 9.6400 9.6400 5.7057 Å, 90.00 90.00 120.00°
Space group P3 (No. 143)
Unique sites:
Dy  0.0317  0.5628  0.0000 x3
Dy  0.2995  0.1084  0.4838 x3
Al  0.0000  0.0000  0.0726 x1
Al  0.6667  0.3333  0.2044 x1
Si  0.3333  0.6667  0.5782 x1
S  0.0000  0.0000  0.6881 x1
S  0.0936  0.8490  0.2283 x3
S  0.1861  0.4350  0.7267 x3
S  0.3333  0.6667  0.2089 x1
S  0.4218  0.1803  0.9729 x3
S  0.5227  0.4294  0.4413 x3

Output
- E_tot (eV/atom) = -6.312
- E_form (uncorrected) (meV/atom) = -1739


12.
The following is a DFT calculation (PBEsol) of a relaxed structure of LiSbSe2.

Cell: 12.1778 3.9518 4.0078 Å, 90.00 90.08 90.00°
Space group Cm (No. 8)
Unique sites:
Li  0.0000  0.0000  0.0000 x2
Sb  0.3053  0.0000  0.4981 x2
Se  0.0121  0.5000  0.4999 x2
Se  0.2700  0.5000  0.9980 x2

Output
- E_tot (eV/atom) = -4.139
- E_form (uncorrected) (meV/atom) = -583


13.
The following is a DFT calculation (PBEsol) of a relaxed structure of Nd2FeSi2Ru.

Cell: 4.0913 4.0913 6.8526 Å, 90.00 90.00 90.00°
Space group P-4m2 (No. 115)
Unique sites:
Nd  0.0000  0.5000  0.1790 x2
Fe  0.0000  0.0000  0.5000 x1
Si  0.0000  0.5000  0.6722 x2
Ru  0.5000  0.5000  0.5000 x1

Output
- E_tot (eV/atom) = -7.518
- E_form (uncorrected) (meV/atom) = -690


14.
The following is a DFT calculation (PBEsol) of a relaxed structure of ZrScCu2.

Cell: 3.1937 3.1937 6.5196 Å, 90.00 90.00 90.00°
Space group P4/mmm (No. 123)
Unique sites:
Zr  0.0000  0.0000  0.0000 x1
Sc  0.0000  0.0000  0.5000 x1
Cu  0.5000  0.5000  0.2541 x2

Output
- E_tot (eV/atom) = -6.266
- calculated formation energy (eV/atom) = -0.18
- energy relative to the lowest polymorph listed for this composition (meV/atom) = 3.7


15.
The following is a DFT calculation (PBEsol) of a relaxed structure of Hg2TeI.

Cell: 7.5785 7.5785 7.5785 Å, 90.00 90.00 90.00°
Space group Fm-3m (No. 225)
Unique sites:
Hg  0.2500  0.2500  0.2500 x8
Te  0.0000  0.0000  0.0000 x4
I  0.0000  0.0000  0.5000 x4

Output
- E_tot (eV/atom) = -1.446
- E_form (uncorrected) (meV/atom) = 161


16.
The following is a DFT calculation (PBEsol) of a relaxed structure of BiPS2N.

Cell: 4.5334 4.5334 3.8733 Å, 90.00 90.00 90.00°
Space group P4/mmm (No. 123)
Unique sites:
Bi  0.0000  0.0000  0.0000 x1
P  0.5000  0.5000  0.0000 x1
S  0.0000  0.5000  0.5000 x2
N  0.5000  0.5000  0.5000 x1

Output
- E_tot (eV/atom) = -4.759
- E_form (uncorrected) (meV/atom) = 715


17.
The following is a DFT calculation (PBEsol) of a relaxed structure of SbMo2Cl.

Cell: 3.4169 3.5320 6.5901 Å, 90.00 90.00 90.00°
Space group Pmmm (No. 47)
Unique sites:
Sb  0.0000  0.0000  0.0000 x1
Mo  0.5000  0.5000  0.1847 x2
Cl  0.0000  0.5000  0.5000 x1

Output
- E_tot (eV/atom) = -7.190
- E_form (uncorrected) (meV/atom) = 335
- energy relative to the lowest polymorph listed for this composition (meV/atom) = 435.0


18.
The following is a DFT calculation (PBEsol) of a relaxed structure of SrAl3Ag.

Cell: 4.2960 4.2960 11.5328 Å, 90.00 90.00 90.00°
Space group I4mm (No. 107)
Unique sites:
Sr  0.0000  0.0000  0.0000 x2
Al  0.0000  0.0000  0.6082 x2
Al  0.0000  0.5000  0.2492 x4
Ag  0.0000  0.0000  0.3822 x2

Output
- E_tot (eV/atom) = -3.771
- calculated formation energy (eV/atom) = -0.29


19.
The following is a DFT calculation (PBEsol) of a relaxed structure of CaAgF3.

Cell: 4.3349 4.3349 4.3349 Å, 90.00 90.00 90.00°
Space group Pm-3m (No. 221)
Unique sites:
Ca  0.0000  0.0000  0.0000 x1
Ag  0.5000  0.5000  0.5000 x1
F  0.0000  0.0000  0.5000 x3

Output
- E_tot (eV/atom) = -4.735
- E_form (uncorrected) (meV/atom) = -2490


20.
The following is a DFT calculation (PBEsol) of a relaxed structure of AgSn3O.

Cell: 5.1771 5.1771 5.1771 Å, 90.00 90.00 90.00°
Space group Pm-3m (No. 221)
Unique sites:
Ag  0.0000  0.0000  0.0000 x1
Sn  0.0000  0.0000  0.5000 x3
O  0.5000  0.5000  0.5000 x1

Output
- E_tot (eV/atom) = -3.470
- E_form (uncorrected) (meV/atom) = 797


21.
The following is a DFT calculation (PBEsol) of a relaxed structure of Sr3SnAs.

Cell: 5.8112 5.8112 5.8112 Å, 90.00 90.00 90.00°
Space group Pm-3m (No. 221)
Unique sites:
Sr  0.0000  0.0000  0.5000 x3
Sn  0.5000  0.5000  0.5000 x1
As  0.0000  0.0000  0.0000 x1

Output
- E_tot (eV/atom) = -3.614
- calculated formation energy (eV/atom) = -0.64


22.
The following is a DFT calculation (PBEsol) of a relaxed structure of Zr3Mn.

Cell: 3.1822 3.1822 7.3576 Å, 90.00 90.00 90.00°
Space group P4/mmm (No. 123)
Unique sites:
Zr  0.0000  0.0000  0.0000 x1
Zr  0.5000  0.5000  0.2922 x2
Mn  0.0000  0.0000  0.5000 x1

Output
- E_tot (eV/atom) = -9.247
- calculated formation energy (eV/atom) = 0.01


23.
The following is a DFT calculation (PBEsol) of a relaxed structure of LiBeCoRu2.

Cell: 4.3378 4.3378 3.9688 Å, 90.00 90.00 90.00°
Space group P4/mmm (No. 123)
Unique sites:
Li  0.0000  0.0000  0.0000 x1
Be  0.5000  0.5000  0.0000 x1
Co  0.5000  0.5000  0.5000 x1
Ru  0.0000  0.5000  0.5000 x2

Output
- E_tot (eV/atom) = -5.753
- calculated formation energy (eV/atom) = 1.06


24.
The following is a DFT calculation (PBEsol) of a relaxed structure of CaAl2Cd.

Cell: 3.4826 3.4826 7.2065 Å, 90.00 90.00 90.00°
Space group P4/mmm (No. 123)
Unique sites:
Ca  0.0000  0.0000  0.0000 x1
Al  0.5000  0.5000  0.2951 x2
Cd  0.0000  0.0000  0.5000 x1

Output
- E_tot (eV/atom) = -2.928
- calculated formation energy (eV/atom) = -0.05


25.
The following is a DFT calculation (PBEsol) of a relaxed structure of Li3B2SbO6.

Cell: 5.0990 8.2994 12.5399 Å, 90.00 113.79 90.00°
Space group P2_1/c (No. 14)
Unique sites:
Li  0.0998  0.0239  0.2665 x4
Li  0.2149  0.1956  0.8985 x4
Li  0.2583  0.0231  0.0811 x4
B  0.2296  0.6950  0.3976 x4
B  0.3891  0.7333  0.1873 x4
Sb  0.2775  0.0668  0.6042 x4
O  0.0640  0.6644  0.8598 x4
O  0.1119  0.5507  0.4105 x4
O  0.1350  0.6567  0.1691 x4
O  0.4219  0.1540  0.3456 x4
O  0.4425  0.6069  0.7260 x4
O  0.4767  0.2040  0.0764 x4

Output
- E_tot (eV/atom) = -6.751
- E_form (uncorrected) (meV/atom) = -2085
- energy relative to the lowest polymorph listed for this composition (meV/atom) = 11.8